Below is an optimized crystal structure of TmHfGaCu, with properties calculated at the PBE-GGA level. Values from VASP.

Geometry as Quantum ESPRESSO input:
```
&SYSTEM
  ibrav = 0, nat = 4, ntyp = 4
/
ATOMIC_SPECIES
Tm 168.93 Tm.upf
Hf 178.49 Hf.upf
Ga 69.72 Ga.upf
Cu 63.55 Cu.upf
CELL_PARAMETERS angstrom
0.0000 3.3780 3.3780
3.3780 0.0000 3.3780
3.3780 3.3780 0.0000
ATOMIC_POSITIONS angstrom
Tm 0.0000 0.0000 0.0000
Hf 3.3780 3.3780 3.3780
Ga 1.6890 1.6890 1.6890
Cu 5.0671 5.0671 5.0671
```

## Properties
The total DFT energy (no corrections) comes out at -22.678 eV/cell. The calculation puts the energy relative to the elements at -27 kJ/mol of atoms. The calculation puts the total moment at 0.38 μB per formula unit. Its space group is F-43m, No. 216.